Entry 1:
Here is an optimized crystal structure of Ce5Tl from Alexandria via LeMat-Bulk. Energies are from GGA-PBE.

Cell lengths 9.016, 9.016, 3.305 Å; angles 90.00, 90.00, 143.82 degrees
Fractional coordinates of all 6 atoms:
Ce (0.000, 0.000, 0.000)
Ce (0.154, 0.846, 0.500)
Ce (0.328, 0.672, 0.000)
Ce (0.672, 0.328, 0.000)
Ce (0.846, 0.154, 0.500)
Tl (0.500, 0.500, 0.500)

- distance to the lowest polymorph of the same formula (meV per atom) = 44
- magnetization (μB/f.u.) = 0.04
- formation energy from the elements (eV/f.u.) = -0.1

***

Entry 2:
Here is an optimized crystal structure of KCaAlH6 from Alexandria via LeMat-Bulk. Energies are from GGA-PBE.

Cell lengths 5.401, 5.401, 5.325 Å; angles 90.00, 90.00, 120.00 degrees
Fractional coordinates of all 9 atoms:
K (0.000, 0.000, 0.000)
Ca (0.667, 0.333, 0.500)
Al (0.333, 0.667, 0.500)
H (0.059, 0.410, 0.307)
H (0.059, 0.650, 0.693)
H (0.350, 0.410, 0.693)
H (0.350, 0.941, 0.307)
H (0.590, 0.650, 0.307)
H (0.590, 0.941, 0.693)

- magnetization (μB/f.u.) = 0.00
- VASP energy (eV/atom) = -3.28

***

Entry 3:
Here is an optimized crystal structure of CaSmGaPd from Alexandria via LeMat-Bulk. Energies are from GGA-PBE.

Cell lengths 4.444, 5.952, 5.952 Å; angles 38.86, 90.00, 90.00 degrees
Fractional coordinates of all 4 atoms:
Ca (0.000, 0.000, 0.000)
Sm (0.500, 0.288, 0.288)
Ga (0.500, 0.575, 0.575)
Pd (0.000, 0.715, 0.715)

- distance to the lowest polymorph of the same formula (meV per atom) = 0
- magnetization (μB/f.u.) = 0.00
- formation energy from the elements (eV/f.u.) = -2.5

***

> Look up the magnetization of the third one.

0.00 μB/f.u.